[1]
# BrClF2 GGA-PBE optimized geometry
data_BrClF2
_chemical_formula_sum 'Br3 Cl3 F6'
_cell_length_a 3.0462
_cell_length_b 3.0462
_cell_length_c 29.4144
_cell_angle_alpha 90.00
_cell_angle_beta 90.00
_cell_angle_gamma 120.00
_symmetry_space_group_name_H-M 'R -3 m'
_symmetry_Int_Tables_number 166
_symmetry_space_group_name_Hall '-R 3 2"'
loop_
_atom_site_label
_atom_site_type_symbol
_atom_site_fract_x
_atom_site_fract_y
_atom_site_fract_z
Br1 Br 0.0000 0.0000 0.0000
Cl1 Cl 0.0000 0.0000 0.5000
F1 F 0.0000 0.0000 0.4404
# Polymorph energy (0 for the lowest one) = 373 meV/atom
# Formation energy without anion corrections = -0.222 eV per atom

[2]
# TbNiH2 GGA-PBE optimized geometry
data_TbNiH2
_chemical_formula_sum 'Tb3 Ni3 H6'
_cell_length_a 3.9016
_cell_length_b 3.9016
_cell_length_c 11.3017
_cell_angle_alpha 90.00
_cell_angle_beta 90.00
_cell_angle_gamma 120.00
_symmetry_space_group_name_H-M 'R -3 m'
_symmetry_Int_Tables_number 166
_symmetry_space_group_name_Hall '-R 3 2"'
loop_
_atom_site_label
_atom_site_type_symbol
_atom_site_fract_x
_atom_site_fract_y
_atom_site_fract_z
Tb1 Tb 0.0000 0.0000 0.0000
Ni1 Ni 0.0000 0.0000 0.5000
H1 H 0.0000 0.0000 0.3631
# Total DFT energy (no corrections) = -56.25 eV for the cell shown

[3]
# FeNiSn GGA-PBE optimized geometry
data_FeNiSn
_chemical_formula_sum 'Fe2 Ni2 Sn2'
_cell_length_a 4.3833
_cell_length_b 4.3833
_cell_length_c 5.2436
_cell_angle_alpha 90.00
_cell_angle_beta 90.00
_cell_angle_gamma 120.00
_symmetry_space_group_name_H-M 'P 63/m m c'
_symmetry_Int_Tables_number 194
_symmetry_space_group_name_Hall '-P 6c 2c'
loop_
_atom_site_label
_atom_site_type_symbol
_atom_site_fract_x
_atom_site_fract_y
_atom_site_fract_z
Fe1 Fe 0.3333 0.6667 0.2500
Ni1 Ni 0.0000 0.0000 0.0000
Sn1 Sn 0.3333 0.6667 0.7500
# ΔH_f (0 K) = 0.153 eV per atom

[4]
# AlAuBr2 GGA-PBE optimized geometry
data_AlAuBr2
_chemical_formula_sum 'Al2 Au2 Br4'
_cell_length_a 4.1517
_cell_length_b 7.0108
_cell_length_c 7.7716
_cell_angle_alpha 90.00
_cell_angle_beta 90.00
_cell_angle_gamma 90.00
_symmetry_space_group_name_H-M 'C m m m'
_symmetry_Int_Tables_number 65
_symmetry_space_group_name_Hall '-C 2 2'
loop_
_atom_site_label
_atom_site_type_symbol
_atom_site_fract_x
_atom_site_fract_y
_atom_site_fract_z
Al1 Al 0.0000 0.0000 0.0000
Au1 Au 0.0000 0.0000 0.5000
Br1 Br 0.0000 0.5000 0.2624
# Polymorph energy (0 for the lowest one) = 659 meV/atom
# Formation energy without anion corrections = 0.075 eV per atom

[5]
# AlTcGe GGA-PBE optimized geometry
data_AlTcGe
_chemical_formula_sum 'Al2 Tc2 Ge2'
_cell_length_a 3.2455
_cell_length_b 3.2455
_cell_length_c 8.2331
_cell_angle_alpha 90.00
_cell_angle_beta 90.00
_cell_angle_gamma 90.00
_symmetry_space_group_name_H-M 'I 4 m m'
_symmetry_Int_Tables_number 107
_symmetry_space_group_name_Hall 'I 4 -2'
loop_
_atom_site_label
_atom_site_type_symbol
_atom_site_fract_x
_atom_site_fract_y
_atom_site_fract_z
Al1 Al 0.0000 0.0000 0.0000
Tc1 Tc 0.0000 0.0000 0.3327
Ge1 Ge 0.0000 0.0000 0.6752
# ΔH_f (0 K) = -0.439 eV per atom
# Polymorph energy (0 for the lowest one) = 0 meV/atom

[6]
# LiZn2Cd6 GGA-PBE optimized geometry
data_LiZn2Cd6
_chemical_formula_sum 'Li2 Zn4 Cd12'
_cell_length_a 14.2592
_cell_length_b 6.6948
_cell_length_c 4.3728
_cell_angle_alpha 90.00
_cell_angle_beta 105.42
_cell_angle_gamma 90.00
_symmetry_space_group_name_H-M 'C 1 2/m 1'
_symmetry_Int_Tables_number 12
loop_
_symmetry_equiv_pos_as_xyz
'x,y,z'
'-x,-y,-z'
'-x,y,-z'
'x,-y,z'
'x+1/2,y+1/2,z'
'-x+1/2,-y+1/2,-z'
'-x+1/2,y+1/2,-z'
'x+1/2,-y+1/2,z'
loop_
_atom_site_label
_atom_site_type_symbol
_atom_site_fract_x
_atom_site_fract_y
_atom_site_fract_z
Li1 Li 0.0000 0.0000 0.0000
Zn1 Zn 0.1676 0.5000 0.6658
Cd1 Cd 0.0000 0.2575 0.5000
Cd2 Cd 0.1645 0.2382 0.1629
# ΔH_f (0 K) = 0.039 eV per atom
# Polymorph energy (0 for the lowest one) = 48 meV/atom

[7]
# SrDyCu2S4 GGA-PBE optimized geometry
data_SrDyCu2S4
_chemical_formula_sum 'Sr2 Dy2 Cu4 S8'
_cell_length_a 6.6099
_cell_length_b 6.6099
_cell_length_c 7.8126
_cell_angle_alpha 90.00
_cell_angle_beta 90.00
_cell_angle_gamma 90.00
_symmetry_space_group_name_H-M 'I -4 2 m'
_symmetry_Int_Tables_number 121
_symmetry_space_group_name_Hall 'I -4 2'
loop_
_atom_site_label
_atom_site_type_symbol
_atom_site_fract_x
_atom_site_fract_y
_atom_site_fract_z
Sr1 Sr 0.0000 0.0000 0.0000
Dy1 Dy 0.0000 0.0000 0.5000
Cu1 Cu 0.0000 0.5000 0.2500
S1 S 0.2234 0.2234 0.2883
# Formation energy without anion corrections = -1.147 eV per atom

[8]
# Th3ZrC GGA-PBE optimized geometry
data_Th3ZrC
_chemical_formula_sum 'Th3 Zr1 C1'
_cell_length_a 5.0934
_cell_length_b 5.0934
_cell_length_c 5.0934
_cell_angle_alpha 90.00
_cell_angle_beta 90.00
_cell_angle_gamma 90.00
_symmetry_space_group_name_H-M 'P m -3 m'
_symmetry_Int_Tables_number 221
_symmetry_space_group_name_Hall '-P 4 2 3'
loop_
_atom_site_label
_atom_site_type_symbol
_atom_site_fract_x
_atom_site_fract_y
_atom_site_fract_z
Th1 Th 0.0000 0.0000 0.5000
Zr1 Zr 0.5000 0.5000 0.5000
C1 C 0.0000 0.0000 0.0000
# ΔH_f (0 K) = -0.050 eV per atom

Copy entry 1 word for word.
# BrClF2 GGA-PBE optimized geometry
data_BrClF2
_chemical_formula_sum 'Br3 Cl3 F6'
_cell_length_a 3.0462
_cell_length_b 3.0462
_cell_length_c 29.4144
_cell_angle_alpha 90.00
_cell_angle_beta 90.00
_cell_angle_gamma 120.00
_symmetry_space_group_name_H-M 'R -3 m'
_symmetry_Int_Tables_number 166
_symmetry_space_group_name_Hall '-R 3 2"'
loop_
_atom_site_label
_atom_site_type_symbol
_atom_site_fract_x
_atom_site_fract_y
_atom_site_fract_z
Br1 Br 0.0000 0.0000 0.0000
Cl1 Cl 0.0000 0.0000 0.5000
F1 F 0.0000 0.0000 0.4404
# Polymorph energy (0 for the lowest one) = 373 meV/atom
# Formation energy without anion corrections = -0.222 eV per atom